# Ba2Na2Ga

Ba2Na2Ga at its PBEsol-relaxed geometry (meta-GGA SCAN, Alexandria via LeMat-Bulk).

```
Ba2Na2Ga
1.0
4.2360 0.0000 0.0000
0.0000 4.2360 0.0000
0.0000 0.0000 21.5969
Ba Na Ga
4 4 2
Cartesian
0.0000 0.0000 1.8377
0.0000 0.0000 19.7592
2.1180 2.1180 8.9608
2.1180 2.1180 12.6361
0.0000 2.1180 5.3992
0.0000 2.1180 16.1977
2.1180 0.0000 5.3992
2.1180 0.0000 16.1977
0.0000 0.0000 10.7985
2.1180 2.1180 0.0000
```

Properties
ΔE_f, kJ per mole of atoms: -8.5


# SiB3

SiB3 at its PBEsol-relaxed geometry (meta-GGA SCAN, Alexandria via LeMat-Bulk).

```
SiB3
1.0
-4.1570 6.2721 3.1026
4.1570 -6.2721 3.1026
4.1570 6.2721 -3.1026
Si B
8 24
Cartesian
0.0000 1.9342 0.0139
2.2279 3.1360 -0.3938
6.0861 3.1360 -0.3938
0.0000 4.3379 0.0139
4.1570 1.9342 3.0887
-1.9291 3.1360 3.4964
1.9291 3.1360 3.4964
4.1570 4.3379 3.0887
3.2335 1.4128 -0.0153
5.0805 1.4128 -0.0153
2.6972 0.0187 0.9556
5.6168 0.0187 0.9556
4.1570 -0.8685 1.4150
4.1570 5.4036 -1.4150
4.1570 0.9298 1.3865
2.6972 6.2907 -0.9556
1.4598 0.0187 2.1471
0.0000 0.9298 1.7162
3.2335 4.8593 -0.0153
5.0805 4.8593 -0.0153
-0.9235 1.4128 3.1179
0.9235 1.4128 3.1179
4.1570 5.3422 1.3865
2.6972 6.2534 0.9556
1.4598 -0.0187 4.0582
0.0000 5.3422 1.7162
0.0000 0.8685 4.5176
0.0000 7.1405 1.6876
-1.4598 6.2534 2.1471
1.4598 6.2534 2.1471
-0.9235 4.8593 3.1179
0.9235 4.8593 3.1179
```

Properties
Energy relative to the elements, uncorrected, eV per formula unit: -0.25


We obtain total energy values of -20.86 -8.14 eV per atom for the records listed above, in that order.